Material: RbNa2AlAu
Method: DFT, PBE
State: relaxed

Structure (CIF):
```
data_RbNa2AlAu
_space_group_name_H-M_alt 'P 4/m m m'
_space_group_IT_number 123
_space_group_name_Hall '-P 4 2'
_cell_length_a 5.841
_cell_length_b 5.841
_cell_length_c 4.905
_cell_angle_alpha 90.00
_cell_angle_beta 90.00
_cell_angle_gamma 90.00
loop_
_atom_site_label
_atom_site_fract_x
_atom_site_fract_y
_atom_site_fract_z
Rb1 0.000 0.000 0.000
Na1 0.000 0.500 0.500
Al1 0.500 0.500 0.000
Au1 0.500 0.500 0.500
```

Volume, Å³/cell: 167
Formation energy from the elements, eV/atom: -0.10
Total magnetic moment, μB per cell: 0.00
Offset from the most stable computed form, meV per atom: 0